(1)
DFT (GGA-PBE) results for a relaxed structure of ScAuSe.

Computed properties:
DOS at the Fermi energy   0.22 states/eV/cell
Raw formation energy   -0.880 eV per atom
Size of the total moment   0.0 μB/f.u.
Energy relative to the lowest polymorph listed for this composition   26.3 kJ/mol of formula units

Cell lengths 6.536, 6.536, 6.536 Å; angles 90.00, 90.00, 90.00 degrees
Space group F-43m (No. 216)
Asymmetric unit:
Sc 0.000 0.000 0.000 x4
Au 0.250 0.250 0.250 x4
Se 0.250 0.250 0.750 x4

(2)
DFT (GGA-PBE) results for a relaxed structure of ScAuSe.

Computed properties:
Raw formation energy   -0.971 eV per atom
Size of the total moment   0.0 μB/f.u.
Energy relative to the lowest polymorph listed for this composition   0.0 kJ/mol of formula units

Cell lengths 3.8136, 3.8136, 5.4696 Å; angles 90.00, 90.00, 120.00 degrees
Space group P3m1 (No. 156)
Asymmetric unit:
Sc 0.0000 0.0000 0.0000 x1
Au 0.3333 0.6667 0.6756 x1
Se 0.6667 0.3333 0.2751 x1

(3)
DFT (GGA-PBE) results for a relaxed structure of Sc2AuSe.

Computed properties:
DOS at the Fermi energy   10.16 states/eV/cell
Raw formation energy   -0.621 eV per atom
Size of the total moment   0.0 μB/f.u.

Cell lengths 4.1843, 4.1843, 23.0566 Å; angles 90.00, 90.00, 120.00 degrees
Space group R-3m (No. 166, hexagonal axes)
Asymmetric unit:
Sc 0.0000 0.0000 0.1067 x6
Au 0.0000 0.0000 0.5000 x3
Se 0.0000 0.0000 0.0000 x3

(4)
DFT (GGA-PBE) results for a relaxed structure of Sc4TeAuSe2.

Computed properties:
DOS at the Fermi energy   5.79 states/eV/cell
Raw formation energy   -1.235 eV per atom
Size of the total moment   0.0 μB/f.u.

Cell lengths 6.813, 3.864, 7.065 Å; angles 90.00, 107.92, 90.00 degrees
Space group P2/m (No. 10)
Asymmetric unit:
Sc 0.231 0.000 0.230 x2
Sc 0.243 0.500 0.759 x2
Te 0.500 0.500 0.500 x1
Au 0.000 0.000 0.500 x1
Se 0.000 0.500 0.000 x1
Se 0.500 0.000 0.000 x1